An optimized crystal structure of ReAg2Se, computed with PBE.

Lattice parameters (Å, degrees): 6.0502 5.4836 2.7006 89.99 63.51 116.22
Fractional positions:
Ag 0.0000 0.0000 0.0000
Ag 0.5000 0.0000 0.5000
Re 0.0000 0.5000 0.5000
Se 0.5000 0.5000 0.0000

Computed properties:
Calculated total energy ... -4.72 eV per atom

=====

An optimized crystal structure of Sr2TaW, computed with PBE.

Lattice parameters (Å, degrees): 2.9337 2.9337 11.1733 90.00 90.00 90.39
Fractional positions:
Sr 0.0000 0.0000 0.9911
Sr 0.0000 0.0000 0.5089
Ta 0.5000 0.5000 0.2500
W 0.5000 0.5000 0.7500

Computed properties:
Calculated total energy ... -5.76 eV per atom
Energy of formation ... 1.28 eV/atom
Energy above the lowest structure with this stoichiometry ... 280 kJ/mol of formula units

=====

An optimized crystal structure of MgNCl2, computed with PBE.

Lattice parameters (Å, degrees): 3.6704 6.3617 11.1460 82.48 99.48 90.00
Fractional positions:
Mg 0.2501 0.2498 0.5002
Mg 0.7499 0.7502 0.4998
Cl 0.1869 0.9457 0.3739
Cl 0.3130 0.5544 0.6260
Cl 0.8131 0.0543 0.6261
Cl 0.6870 0.4456 0.3740
N 0.4553 0.7808 0.9105
N 0.5447 0.2192 0.0895

Computed properties:
Calculated total energy ... -3.50 eV per atom
Energy above the lowest structure with this stoichiometry ... 0 kJ/mol of formula units